# 1
A plane-wave DFT calculation with PBE was carried out for a geometry-optimized SrHoW2N6 structure.

```
SrHoW2N6
1.0
5.707 -5.143 0.000
5.707 5.143 0.000
-2.629 0.000 5.997
Sr Ho W N
2 2 4 12
direct
0.094 0.906 0.750
0.906 0.094 0.250
0.278 0.722 0.250
0.722 0.278 0.750
0.214 0.377 0.810
0.377 0.214 0.310
0.623 0.786 0.690
0.786 0.623 0.190
0.003 0.242 0.683
0.151 0.615 0.860
0.242 0.003 0.183
0.318 0.373 0.115
0.373 0.318 0.615
0.385 0.849 0.640
0.615 0.151 0.360
0.627 0.682 0.385
0.682 0.627 0.885
0.758 0.997 0.817
0.849 0.385 0.140
0.997 0.758 0.317
```

Results
**Magnetization**: 0.10 μB/atom
**Uncorrected energy**: -89.0 eV/f.u.
**Symmetry**: C2/c

---

# 2
A plane-wave DFT calculation with PBE was carried out for a geometry-optimized SrHo2WN4 structure.

```
SrHo2WN4
1.0
1.697 -6.090 0.000
1.697 6.090 0.000
0.000 0.000 12.141
Sr Ho W N
2 4 2 8
direct
0.078 0.922 0.750
0.922 0.078 0.250
0.372 0.628 0.538
0.372 0.628 0.962
0.628 0.372 0.038
0.628 0.372 0.462
0.183 0.817 0.250
0.817 0.183 0.750
0.000 0.000 0.000
0.000 0.000 0.500
0.261 0.739 0.115
0.261 0.739 0.385
0.414 0.586 0.750
0.586 0.414 0.250
0.739 0.261 0.615
0.739 0.261 0.885
```

Results
**Magnetization**: 0.00 μB/atom
**Uncorrected energy**: -65.8 eV/f.u.
**Symmetry**: Cmcm

---

Here are the calculated ΔE_f (raw) numbers, same order: -0.6926, -1.0836 (eV/atom).